1.
Computed, not measured: BaHgI2N after structural relaxation at the PBE level of DFT.

Computed properties:
- E above lowest polymorph: 0.3810 eV/atom
- Density of states at the Fermi level: 12.0 states/eV/f.u.
- Magnetic moment: 0.00 μB per formula unit
- Raw formation energy: 0.328 eV per atom
- Total energy: -12.0 eV for the cell shown

Cell lengths 6.895, 6.895, 4.812 Å; angles 90.00, 90.00, 90.00 degrees
Space group P4/mmm (No. 123)
Symmetry-distinct sites (fractional):
Ba (0.000, 0.000, 0.000) x1
Hg (0.500, 0.500, 0.500) x1
I (0.000, 0.500, 0.000) x2
N (0.000, 0.000, 0.500) x1


2.
Computed, not measured: BaHgIN2 after structural relaxation at the PBE level of DFT.

Computed properties:
- E above lowest polymorph: 0.0000 eV/atom
- Density of states at the Fermi level: 3.9 states/eV/f.u.
- Magnetic moment: 2.51 μB per formula unit
- Raw formation energy: 0.973 eV per atom
- Total energy: -15.6 eV for the cell shown

Cell lengths 4.719, 4.719, 5.983 Å; angles 90.00, 90.00, 90.00 degrees
Space group P4/mmm (No. 123)
Symmetry-distinct sites (fractional):
Ba (0.000, 0.000, 0.000) x1
Hg (0.500, 0.500, 0.500) x1
I (0.500, 0.500, 0.000) x1
N (0.000, 0.500, 0.500) x2


3.
Computed, not measured: BaHgI2N after structural relaxation at the PBE level of DFT.

Computed properties:
- E above lowest polymorph: 0.0000 eV/atom
- Density of states at the Fermi level: 2.4 states/eV/f.u.
- Magnetic moment: 1.24 μB per formula unit
- Raw formation energy: -0.053 eV per atom
- Total energy: -13.9 eV for the cell shown

Cell lengths 6.419, 6.419, 4.146 Å; angles 90.00, 90.00, 90.00 degrees
Space group P4/mmm (No. 123)
Symmetry-distinct sites (fractional):
Ba (0.000, 0.000, 0.000) x1
Hg (0.500, 0.500, 0.500) x1
I (0.000, 0.500, 0.500) x2
N (0.500, 0.500, 0.000) x1


4.
Computed, not measured: BaHgIN2 after structural relaxation at the PBE level of DFT.

Computed properties:
- E above lowest polymorph: 0.0651 eV/atom
- Density of states at the Fermi level: 3.9 states/eV/f.u.
- Magnetic moment: 4.85 μB per formula unit
- Raw formation energy: 1.038 eV per atom
- Total energy: -15.2 eV for the cell shown

Cell lengths 5.591, 5.591, 6.853 Å; angles 90.00, 90.00, 90.00 degrees
Space group P4/mmm (No. 123)
Symmetry-distinct sites (fractional):
Ba (0.000, 0.000, 0.000) x1
Hg (0.500, 0.500, 0.500) x1
I (0.000, 0.000, 0.500) x1
N (0.000, 0.500, 0.000) x2


5.
Computed, not measured: BaNa2HgI after structural relaxation at the PBE level of DFT.

Computed properties:
- Density of states at the Fermi level: 4.8 states/eV/f.u.
- Magnetic moment: 0.59 μB per formula unit
- Raw formation energy: -0.273 eV per atom
- Total energy: -7.8 eV for the cell shown

Cell lengths 5.757, 5.757, 7.466 Å; angles 90.00, 90.00, 90.00 degrees
Space group P4/mmm (No. 123)
Symmetry-distinct sites (fractional):
Ba (0.000, 0.000, 0.000) x1
Na (0.000, 0.500, 0.500) x2
Hg (0.500, 0.500, 0.000) x1
I (0.500, 0.500, 0.500) x1


6.
Computed, not measured: BaHgIO2 after structural relaxation at the PBE level of DFT.

Computed properties:
- E above lowest polymorph: 0.0000 eV/atom
- Density of states at the Fermi level: 3.2 states/eV/f.u.
- Magnetic moment: 0.44 μB per formula unit
- Raw formation energy: -0.556 eV per atom
- Total energy: -16.5 eV for the cell shown

Cell lengths 4.691, 4.691, 5.658 Å; angles 90.00, 90.00, 90.00 degrees
Space group P4/mmm (No. 123)
Symmetry-distinct sites (fractional):
Ba (0.000, 0.000, 0.000) x1
Hg (0.500, 0.500, 0.500) x1
I (0.500, 0.500, 0.000) x1
O (0.000, 0.500, 0.500) x2


7.
Computed, not measured: Ba2HgI2O2 after structural relaxation at the PBE level of DFT.

Computed properties:
- Density of states at the Fermi level: 0.0 states/eV/f.u.
- Magnetic moment: 0.00 μB per formula unit
- Raw formation energy: -1.770 eV per atom
- Total energy: -59.1 eV for the cell shown

Cell lengths 12.634, 4.465, 9.007 Å; angles 90.00, 122.25, 90.00 degrees
Space group C2/m (No. 12)
Symmetry-distinct sites (fractional):
Ba (0.200, 0.000, 0.280) x4
Hg (0.000, 0.000, 0.500) x2
I (0.075, 0.500, 0.860) x4
O (0.181, 0.000, 0.561) x4


8.
Computed, not measured: BaHgIO2 after structural relaxation at the PBE level of DFT.

Computed properties:
- E above lowest polymorph: 0.0967 eV/atom
- Density of states at the Fermi level: 1.9 states/eV/f.u.
- Magnetic moment: 0.24 μB per formula unit
- Raw formation energy: -0.459 eV per atom
- Total energy: -16.0 eV for the cell shown

Cell lengths 4.574, 4.574, 7.572 Å; angles 90.00, 90.00, 90.00 degrees
Space group P4/mmm (No. 123)
Symmetry-distinct sites (fractional):
Ba (0.000, 0.000, 0.000) x1
Hg (0.500, 0.500, 0.500) x1
I (0.000, 0.000, 0.500) x1
O (0.000, 0.500, 0.000) x2


Question: Among the records above, which one has the lowest density of states at the Fermi level?
Answer: Ba2HgI2O2


Repeat the fifth record exactly.
Computed, not measured: BaNa2HgI after structural relaxation at the PBE level of DFT.

Computed properties:
- Density of states at the Fermi level: 4.8 states/eV/f.u.
- Magnetic moment: 0.59 μB per formula unit
- Raw formation energy: -0.273 eV per atom
- Total energy: -7.8 eV for the cell shown

Cell lengths 5.757, 5.757, 7.466 Å; angles 90.00, 90.00, 90.00 degrees
Space group P4/mmm (No. 123)
Symmetry-distinct sites (fractional):
Ba (0.000, 0.000, 0.000) x1
Na (0.000, 0.500, 0.500) x2
Hg (0.500, 0.500, 0.000) x1
I (0.500, 0.500, 0.500) x1